# 1
A plane-wave DFT calculation with PBE was carried out for a geometry-optimized BeZnFeAu structure.

a b c (Å): 5.9257 5.9257 5.9257
angles (deg): 90.00 90.00 90.00
Space group F-43m (No. 216)
Asymmetric unit:
Be  0.0000  0.0000  0.0000
Zn  0.0000  0.0000  0.5000
Fe  0.2500  0.2500  0.7500
Au  0.2500  0.2500  0.2500

Density = 10.45 g/cm³
E_tot = -4.08 eV per atom

# 2
A plane-wave DFT calculation with PBE was carried out for a geometry-optimized BeGa2Au structure.

a b c (Å): 6.3243 6.3243 6.3243
angles (deg): 90.00 90.00 90.00
Space group F-43m (No. 216)
Asymmetric unit:
Be  0.0000  0.0000  0.0000
Ga  0.0000  0.0000  0.5000
Ga  0.2500  0.2500  0.7500
Au  0.2500  0.2500  0.2500

Density = 9.07 g/cm³
E_tot = -3.06 eV per atom

# 3
A plane-wave DFT calculation with PBE was carried out for a geometry-optimized BeGaAu2 structure.

a b c (Å): 6.3455 6.3455 6.3455
angles (deg): 90.00 90.00 90.00
Space group F-43m (No. 216)
Asymmetric unit:
Be  0.0000  0.0000  0.0000
Ga  0.2500  0.2500  0.7500
Au  0.0000  0.0000  0.5000
Au  0.2500  0.2500  0.2500

Density = 12.29 g/cm³
E_tot = -3.16 eV per atom

# 4
A plane-wave DFT calculation with PBE was carried out for a geometry-optimized BeGaAu structure.

a b c (Å): 5.8447 5.8447 5.8447
angles (deg): 90.00 90.00 90.00
Space group F-43m (No. 216)
Asymmetric unit:
Be  0.0000  0.0000  0.0000
Ga  0.2500  0.2500  0.7500
Au  0.0000  0.0000  0.5000

Density = 9.17 g/cm³
E_tot = -3.15 eV per atom

Which of these has the highest E_tot?
BeGa2Au

density of number 4 (BeGaAu)?
9.17 g/cm³